(1)
# Al2ReIr

Al2ReIr after structural relaxation (PBE, the Alexandria database).

Output
**Formation energy from the elements**: -0.335 eV/atom
**Calculated volume**: 57.8 Å³ per cell

Lattice parameters (Å, degrees): 2.8230 3.7190 5.5087 90.00 90.00 90.00
Last column: nearest neighbours and their distance in Å.
Space group Pmm2 (No. 25)
Symmetry-distinct sites (fractional):
Al  0.0000  0.0000  0.0000 (multiplicity 1)  2 Ir 2.65-2.86, 4 Re 2.66, 6 Al 2.76-2.82
Al  0.5000  0.5000  0.2667 (multiplicity 1)  4 Ir 2.62, 2 Re 2.74-2.77, 6 Al 2.76-2.82
Re  0.5000  0.5000  0.7698 (multiplicity 1)  6 Al 2.66-2.77, 2 Re 2.82, 4 Ir 2.83
Ir  0.0000  0.0000  0.4809 (multiplicity 1)  6 Al 2.62-2.86, 2 Ir 2.82, 4 Re 2.83

***

(2)
# AlReIr2

AlReIr2 after structural relaxation (PBE, the Alexandria database).

Output
**Formation energy from the elements**: -0.134 eV/atom
**Calculated volume**: 58.4 Å³ per cell

Lattice parameters (Å, degrees): 3.9470 3.9470 3.7460 90.00 90.00 90.00
Last column: nearest neighbours and their distance in Å.
Space group P4/mmm (No. 123)
Symmetry-distinct sites (fractional):
Al  0.0000  0.0000  0.0000 (multiplicity 1)  8 Ir 2.72, 4 Re 2.79
Re  0.5000  0.5000  0.0000 (multiplicity 1)  8 Ir 2.72, 4 Al 2.79
Ir  0.0000  0.5000  0.5000 (multiplicity 2)  4 Al 2.72, 4 Re 2.72, 4 Ir 2.79

***

(3)
# Al3ReIr

Al3ReIr after structural relaxation (PBE, the Alexandria database).

Output
**Energy above the lowest structure with this stoichiometry**: 0.0000 eV per atom
**Formation energy from the elements**: 0.729 eV/atom
**Calculated volume**: 100.1 Å³ per cell

Lattice parameters (Å, degrees): 4.6427 4.6427 4.6427 90.00 90.00 90.00
Last column: nearest neighbours and their distance in Å.
Space group Pm-3m (No. 221)
Symmetry-distinct sites (fractional):
Al  0.0000  0.0000  0.5000 (multiplicity 3)  2 Ir 2.32
Re  0.5000  0.5000  0.5000 (multiplicity 1)  12 Al 3.28
Ir  0.0000  0.0000  0.0000 (multiplicity 1)  6 Al 2.32

***

(4)
# AlReIr2

AlReIr2 after structural relaxation (PBE, the Alexandria database).

Output
**Formation energy from the elements**: -0.224 eV/atom
**Calculated volume**: 175.2 Å³ per cell

Lattice parameters (Å, degrees): 2.7862 2.7862 26.0588 90.00 90.00 120.00
Last column: nearest neighbours and their distance in Å.
Space group R3m (No. 160, hexagonal axes)
Symmetry-distinct sites (fractional):
Al  0.0000  0.0000  0.0000 (multiplicity 3)  3 Ir 2.58, 3 Re 2.75, 6 Al 2.79
Re  0.0000  0.0000  0.2478 (multiplicity 3)  3 Ir 2.65, 3 Al 2.75, 6 Re 2.79
Ir  0.0000  0.0000  0.5003 (multiplicity 3)  3 Re 2.65, 9 Ir 2.79-2.83
Ir  0.0000  0.0000  0.7443 (multiplicity 3)  3 Al 2.58, 9 Ir 2.79-2.83

***

(5)
# Al2ReIr

Al2ReIr after structural relaxation (PBE, the Alexandria database).

Output
**Formation energy from the elements**: -0.258 eV/atom
**Calculated volume**: 117.0 Å³ per cell

Lattice parameters (Å, degrees): 2.9799 4.7081 8.3361 90.00 90.00 90.00
Last column: nearest neighbours and their distance in Å.
Space group Cmmm (No. 65)
Symmetry-distinct sites (fractional):
Al  0.0000  0.0000  0.2456 (multiplicity 4)  2 Ir 2.53, 2 Re 2.59, 4 Al 2.79
Re  0.0000  0.5000  0.5000 (multiplicity 2)  4 Al 2.59, 4 Re 2.79
Ir  0.0000  0.5000  0.0000 (multiplicity 2)  4 Al 2.53, 4 Ir 2.79

***

(6)
# Al2ReIr

Al2ReIr after structural relaxation (PBE, the Alexandria database).

Output
**Formation energy from the elements**: -0.263 eV/atom
**Calculated volume**: 115.5 Å³ per cell

Lattice parameters (Å, degrees): 3.6768 3.6768 8.5411 90.00 90.00 90.00
Last column: nearest neighbours and their distance in Å.
Space group I-4m2 (No. 119)
Symmetry-distinct sites (fractional):
Al  0.0000  0.0000  0.0000 (multiplicity 2)  4 Re 2.60, 4 Ir 2.82, 4 Al 2.82
Al  0.0000  0.5000  0.2500 (multiplicity 2)  4 Ir 2.60, 4 Al 2.82, 4 Re 2.82
Re  0.0000  0.0000  0.5000 (multiplicity 2)  8 Al 2.60-2.82, 4 Ir 2.82
Ir  0.0000  0.5000  0.7500 (multiplicity 2)  8 Al 2.60-2.82, 4 Re 2.82

***

(7)
# AlReIr2

AlReIr2 after structural relaxation (PBE, the Alexandria database).

Output
**Formation energy from the elements**: -0.320 eV/atom
**Calculated volume**: 173.9 Å³ per cell

Lattice parameters (Å, degrees): 2.7955 2.7955 25.6903 90.00 90.00 120.00
Last column: nearest neighbours and their distance in Å.
Space group R-3m (No. 166, hexagonal axes)
Symmetry-distinct sites (fractional):
Al  0.0000  0.0000  0.0000 (multiplicity 3)  6 Ir 2.64, 6 Al 2.80
Re  0.0000  0.0000  0.5000 (multiplicity 3)  6 Ir 2.72, 6 Re 2.80
Ir  0.0000  0.0000  0.2520 (multiplicity 6)  3 Al 2.64, 3 Re 2.72, 6 Ir 2.80

***

(8)
# AlReIr3

AlReIr3 after structural relaxation (PBE, the Alexandria database).

Output
**Energy above the lowest structure with this stoichiometry**: 0.0000 eV per atom
**Formation energy from the elements**: 1.430 eV/atom
**Calculated volume**: 83.6 Å³ per cell

Lattice parameters (Å, degrees): 4.3728 4.3728 4.3728 90.00 90.00 90.00
Last column: nearest neighbours and their distance in Å.
Space group Pm-3m (No. 221)
Symmetry-distinct sites (fractional):
Al  0.0000  0.0000  0.0000 (multiplicity 1)  6 Ir 2.19
Re  0.5000  0.5000  0.5000 (multiplicity 1)  12 Ir 3.09
Ir  0.0000  0.0000  0.5000 (multiplicity 3)  2 Al 2.19

***

(9)
# AlReIr3

AlReIr3 after structural relaxation (PBE, the Alexandria database).

Output
**Energy above the lowest structure with this stoichiometry**: 0.1546 eV per atom
**Formation energy from the elements**: 1.584 eV/atom
**Calculated volume**: 106.3 Å³ per cell

Lattice parameters (Å, degrees): 4.7373 4.7373 4.7373 90.00 90.00 90.00
Last column: nearest neighbours and their distance in Å.
Space group Pm-3m (No. 221)
Symmetry-distinct sites (fractional):
Al  0.0000  0.0000  0.0000 (multiplicity 1)  12 Ir 3.35
Re  0.5000  0.5000  0.5000 (multiplicity 1)  6 Ir 2.37
Ir  0.0000  0.5000  0.5000 (multiplicity 3)  2 Re 2.37

***

(10)
# AlReIr2

AlReIr2 after structural relaxation (PBE, the Alexandria database).

Output
**Formation energy from the elements**: -0.041 eV/atom
**Calculated volume**: 233.9 Å³ per cell

Lattice parameters (Å, degrees): 6.1612 6.1612 6.1612 90.00 90.00 90.00
Last column: nearest neighbours and their distance in Å.
Space group F-43m (No. 216)
Symmetry-distinct sites (fractional):
Al  0.0000  0.0000  0.0000 (multiplicity 4)  4 Re 2.67, 4 Ir 2.67
Re  0.2500  0.2500  0.2500 (multiplicity 4)  4 Al 2.67, 4 Ir 2.67
Ir  0.0000  0.0000  0.5000 (multiplicity 4)  4 Ir 2.67, 4 Re 2.67
Ir  0.2500  0.2500  0.7500 (multiplicity 4)  4 Al 2.67, 4 Ir 2.67

***

(11)
# AlRe3Ir

AlRe3Ir after structural relaxation (PBE, the Alexandria database).

Output
**Energy above the lowest structure with this stoichiometry**: 0.0000 eV per atom
**Formation energy from the elements**: 1.787 eV/atom
**Calculated volume**: 83.3 Å³ per cell

Lattice parameters (Å, degrees): 4.3673 4.3673 4.3673 90.00 90.00 90.00
Last column: nearest neighbours and their distance in Å.
Space group Pm-3m (No. 221)
Symmetry-distinct sites (fractional):
Al  0.0000  0.0000  0.0000 (multiplicity 1)  6 Re 2.18
Re  0.0000  0.0000  0.5000 (multiplicity 3)  2 Al 2.18
Ir  0.5000  0.5000  0.5000 (multiplicity 1)  12 Re 3.09

***

(12)
# AlRe3Ir

AlRe3Ir after structural relaxation (PBE, the Alexandria database).

Output
**Energy above the lowest structure with this stoichiometry**: 0.3579 eV per atom
**Formation energy from the elements**: 2.144 eV/atom
**Calculated volume**: 104.3 Å³ per cell

Lattice parameters (Å, degrees): 4.7069 4.7069 4.7069 90.00 90.00 90.00
Last column: nearest neighbours and their distance in Å.
Space group Pm-3m (No. 221)
Symmetry-distinct sites (fractional):
Al  0.0000  0.0000  0.0000 (multiplicity 1)  12 Re 3.33
Re  0.0000  0.5000  0.5000 (multiplicity 3)  2 Ir 2.35
Ir  0.5000  0.5000  0.5000 (multiplicity 1)  6 Re 2.35

***

(13)
# AlReIr2

AlReIr2 after structural relaxation (PBE, the Alexandria database).

Output
**Formation energy from the elements**: -0.366 eV/atom
**Calculated volume**: 57.9 Å³ per cell

Lattice parameters (Å, degrees): 2.7875 3.7971 5.4703 90.00 90.00 90.00
Last column: nearest neighbours and their distance in Å.
Space group Pmmm (No. 47)
Symmetry-distinct sites (fractional):
Al  0.0000  0.0000  0.0000 (multiplicity 1)  8 Ir 2.73, 2 Re 2.74, 2 Al 2.79
Re  0.0000  0.0000  0.5000 (multiplicity 1)  8 Ir 2.72, 2 Al 2.74, 2 Re 2.79
Ir  0.5000  0.5000  0.2509 (multiplicity 2)  4 Re 2.72, 4 Ir 2.72-2.79, 4 Al 2.73

***

(14)
# AlReIr2

AlReIr2 after structural relaxation (PBE, the Alexandria database).

Output
**Formation energy from the elements**: -0.492 eV/atom
**Calculated volume**: 57.2 Å³ per cell

Lattice parameters (Å, degrees): 2.7943 2.7943 7.3237 90.00 90.00 90.00
Last column: nearest neighbours and their distance in Å.
Space group P4/mmm (No. 123)
Symmetry-distinct sites (fractional):
Al  0.0000  0.0000  0.0000 (multiplicity 1)  8 Ir 2.66, 4 Al 2.79
Re  0.0000  0.0000  0.5000 (multiplicity 1)  8 Ir 2.73, 4 Re 2.79
Ir  0.5000  0.5000  0.2427 (multiplicity 2)  4 Al 2.66, 4 Re 2.73, 4 Ir 2.79